A geometry-optimized BaNa2TaBi structure. Source: Alexandria, functional PBEsol.

Formation enthalpy at 0 K in eV/atom: 1.0990
Spin magnetization in μB per formula unit: 4.0
SG: P4/mmm (123)

```
BaNa2TaBi
1.0
-4.2516 2.4954 2.8588
-0.4908 -4.6188 3.3017
4.4309 2.6106 4.3107
Ba Na Ta Bi
1 2 1 1
Direct
0.0000 0.0000 0.5000
0.0000 0.5000 0.0000
0.5000 0.0000 0.0000
0.5000 0.5000 0.5000
0.0000 0.0000 0.0000
```